Version i
Entry from Alexandria via LeMat-Bulk: a geometry-optimized SrNp2S4 structure (GGA-PBE).

Cell: 4.0342 6.8051 7.2357 Å, 89.91 90.00 90.00°
Last column: magnetic moment on the atom in μB.
Atoms (fractional coordinates):
S: 0.0000 0.6691 0.2041  -0.10
S: 0.5000 0.8439 0.7787  -0.08
S: 0.0000 0.3309 0.7959  -0.10
S: 0.5000 0.1561 0.2213  -0.08
Np: 0.5000 0.5000 0.0000  3.87
Np: 0.0000 0.0000 0.0000  3.86
Sr: 0.0000 0.0000 0.5000  0.04

Calculated values
D(E_F) ... 18.73 states/eV/cell
Calculated volume ... 28.38 A^3/atom

=====

Version ii
Entry from Alexandria via LeMat-Bulk: a geometry-optimized SrNp2S4 structure (GGA-PBE).

Cell: 4.0002 6.8250 13.3688 Å, 90.00 90.00 107.04°
Last column: magnetic moment on the atom in μB.
Atoms (fractional coordinates):
S: 0.7671 0.5343 0.3845  -0.09
S: 0.5000 0.0000 0.0000  -0.11
S: 0.2329 0.4657 0.8845  -0.09
S: 0.0531 0.1062 0.2500  -0.08
S: 0.7671 0.5343 0.1155  -0.09
S: 0.5000 0.0000 0.5000  -0.11
S: 0.2329 0.4657 0.6155  -0.09
S: 0.9469 0.8938 0.7500  -0.08
Np: 0.8680 0.7359 0.5644  3.86
Np: 0.1320 0.2641 0.0644  3.86
Np: 0.1320 0.2641 0.4356  3.86
Np: 0.8680 0.7359 0.9356  3.86
Sr: 0.6120 0.2241 0.7500  0.01
Sr: 0.3880 0.7759 0.2500  0.01

Calculated values
D(E_F) ... 37.34 states/eV/cell
Calculated volume ... 24.93 A^3/atom

=====

version ii takes first place; second place is 9.0 kJ/mol of atoms up.

=====

Version i
Entry from Alexandria via LeMat-Bulk: a geometry-optimized NpTaS2 structure (GGA-PBE).

Cell: 3.2438 3.2438 9.0997 Å, 79.73 79.73 60.00°
Last column: magnetic moment on the atom in μB.
Atoms (fractional coordinates):
Np: 0.0000 0.0000 0.0000  4.09
Ta: 0.5000 0.5000 0.5000  0.04
S: 0.8948 0.8948 0.3157  -0.02
S: 0.1052 0.1052 0.6843  -0.02

Calculated values
D(E_F) ... 4.15 states/eV/cell
Calculated volume ... 20.29 A^3/atom

=====

Version ii
Entry from Alexandria via LeMat-Bulk: a geometry-optimized NpTaS2 structure (GGA-PBE).

Cell: 4.1427 4.1589 6.8496 Å, 71.76 71.77 57.42°
Last column: magnetic moment on the atom in μB.
Atoms (fractional coordinates):
S: 0.1284 0.5734 0.5111  -0.06
S: 0.5797 0.0276 0.1320  -0.01
Ta: 0.2596 0.7045 0.1216  0.20
Np: 0.7368 0.1791 0.7138  3.91

Calculated values
D(E_F) ... 11.04 states/eV/cell
Calculated volume ... 23.23 A^3/atom

=====

version i takes first place; second place is 9.3 kJ/mol of atoms up.

=====

Version i
Entry from Alexandria via LeMat-Bulk: a geometry-optimized NpTaS3 structure (GGA-PBE).

Cell: 3.5217 7.0298 8.3310 Å, 93.81 102.22 104.50°
Last column: magnetic moment on the atom in μB.
Atoms (fractional coordinates):
S: 0.1912 0.8237 0.6417  -0.08
S: 0.3053 0.7221 0.9719  -0.08
S: 0.4013 0.5270 0.3585  -0.03
S: 0.0952 0.0188 0.2551  -0.03
S: 0.6185 0.3173 0.0026  -0.10
S: 0.8781 0.2285 0.6110  -0.10
Np: 0.5770 0.5149 0.7223  3.77
Np: 0.9196 0.0309 0.8914  3.77
Ta: 0.8783 0.6539 0.1857  -0.05
Ta: 0.6182 0.8919 0.4279  -0.05

Calculated values
D(E_F) ... 15.03 states/eV/cell
Calculated volume ... 19.36 A^3/atom

=====

Version ii
Entry from Alexandria via LeMat-Bulk: a geometry-optimized NpTaS3 structure (GGA-PBE).

Cell: 3.5478 7.9792 13.3502 Å, 90.00 90.00 90.00°
Last column: magnetic moment on the atom in μB.
Atoms (fractional coordinates):
S: 0.2500 0.1632 0.5276  -0.05
S: 0.2500 0.8319 0.6935  -0.10
S: 0.7500 0.6681 0.1935  -0.10
S: 0.7500 0.3368 0.0276  -0.05
S: 0.2500 0.3319 0.8065  -0.10
S: 0.7500 0.8368 0.4724  -0.05
S: 0.7500 0.9773 0.8724  -0.04
S: 0.2500 0.6632 0.9724  -0.05
S: 0.2500 0.0227 0.1276  -0.04
S: 0.7500 0.1681 0.3065  -0.10
S: 0.7500 0.4773 0.6276  -0.04
S: 0.2500 0.5227 0.3724  -0.04
Ta: 0.7500 0.8614 0.0395  -0.12
Ta: 0.2500 0.6386 0.5395  -0.12
Ta: 0.2500 0.1386 0.9605  -0.12
Ta: 0.7500 0.3614 0.4605  -0.12
Np: 0.7500 0.1299 0.6912  3.76
Np: 0.2500 0.8701 0.3088  3.76
Np: 0.7500 0.6299 0.8088  3.76
Np: 0.2500 0.3701 0.1912  3.76

Calculated values
D(E_F) ... 23.37 states/eV/cell
Calculated volume ... 18.90 A^3/atom

=====

version i takes first place; second place is 1.3 kJ/mol of atoms up.

=====

Version i
Entry from Alexandria via LeMat-Bulk: a geometry-optimized NpTiS2 structure (GGA-PBE).

Cell: 3.6036 3.6036 6.7811 Å, 74.59 74.59 60.00°
Last column: magnetic moment on the atom in μB.
Atoms (fractional coordinates):
Ti: 0.6720 0.6720 0.9839  -0.13
S: 0.2605 0.2605 0.2184  -0.05
S: 0.0722 0.0722 0.7834  -0.04
Np: 0.4952 0.4952 0.5142  3.99

Calculated values
D(E_F) ... 8.17 states/eV/cell
Calculated volume ... 18.15 A^3/atom

=====

Version ii
Entry from Alexandria via LeMat-Bulk: a geometry-optimized NpTiS2 structure (GGA-PBE).

Cell: 3.7291 3.7291 6.3195 Å, 72.84 72.84 60.00°
Last column: magnetic moment on the atom in μB.
Atoms (fractional coordinates):
S: 0.7416 0.7416 0.7752  -0.04
S: 0.2584 0.2584 0.2248  -0.04
Np: 0.5000 0.5000 0.5000  3.83
Ti: 0.0000 0.0000 0.0000  -0.17

Calculated values
D(E_F) ... 8.81 states/eV/cell
Calculated volume ... 17.89 A^3/atom

=====

version ii takes first place; second place is 4.1 kJ/mol of atoms up.